## Cs2BaAcBr6 (GGA-PBE)

Data for Cs2BaAcBr6 after structural relaxation.

abc: 8.325 9.430 12.468
angles: 90.00 90.00 90.00
Atoms (fractional coordinates):
Cs1 0.000 0.198 0.724
Ac1 0.500 0.229 0.500
Br1 0.256 0.542 0.000
Br2 0.254 0.986 0.500
Br3 0.746 0.986 0.500
Br4 0.500 0.212 0.745
Br5 0.744 0.542 0.000
Cs2 0.500 0.802 0.224
Cs3 0.000 0.198 0.276
Br6 0.756 0.458 0.500
Br7 0.500 0.212 0.255
Ac2 0.000 0.771 0.000
Br8 0.754 0.014 0.000
Br9 0.246 0.014 0.000
Br10 0.244 0.458 0.500
Br11 0.000 0.788 0.755
Cs4 0.500 0.802 0.776
Br12 0.000 0.788 0.245
Ba1 0.500 0.277 0.000
Ba2 0.000 0.723 0.500

Calculated values
formation energy (no corrections): -1.812 eV per atom
space-group type: Pmmn (59)